Crystalline Ac3Si2Pd at its relaxed geometry, computed with PBE.

abc: 4.5496 12.5295 12.4054
angles: 90.00 90.00 90.00
Site moments in Bohr magnetons follow the coordinates.
Atoms (fractional coordinates):
Ac: 0.2500 0.4437 0.3813  0.03
Ac: 0.2500 0.8076 0.7095  0.05
Si: 0.2500 0.8152 0.9726  0.00
Si: 0.2500 0.4927 0.8054  0.00
Si: 0.7500 0.1848 0.0274  0.00
Si: 0.2500 0.0073 0.3054  0.00
Ac: 0.2500 0.0563 0.8813  0.03
Si: 0.7500 0.9927 0.6946  0.00
Ac: 0.7500 0.3076 0.7905  0.05
Ac: 0.7500 0.6258 0.9417  0.06
Ac: 0.7500 0.8742 0.4417  0.06
Si: 0.2500 0.6848 0.4726  0.00
Ac: 0.2500 0.6924 0.2095  0.05
Ac: 0.2500 0.3742 0.0583  0.06
Ac: 0.7500 0.1924 0.2905  0.05
Ac: 0.7500 0.9437 0.1187  0.03
Ac: 0.7500 0.5563 0.6187  0.03
Pd: 0.2500 0.1309 0.1270  0.01
Pd: 0.7500 0.8691 0.8730  0.01
Ac: 0.2500 0.1258 0.5583  0.06
Pd: 0.2500 0.3691 0.6270  0.01
Si: 0.7500 0.5073 0.1946  0.00
Pd: 0.7500 0.6309 0.3730  0.01
Si: 0.7500 0.3152 0.5274  0.00

Properties
The calculation puts the total energy at -5.39 eV per atom. The formation energy without anion corrections comes out at -0.659 eV/atom. The space group is Pnma (62).